Computed, not measured: Ba4Hg5 at its PBEsol-relaxed geometry at the SCAN level of DFT.

abc: 10.3576 10.3576 7.2755
angles: 90.00 90.00 120.00
Fractional coordinates of all 18 atoms:
Ba1 0.0000 0.0000 0.0000
Ba2 0.0000 0.0000 0.5000
Ba3 0.0000 0.3776 0.2500
Ba4 0.0000 0.6224 0.7500
Ba5 0.3776 0.0000 0.2500
Ba6 0.3776 0.3776 0.7500
Ba7 0.6224 0.0000 0.7500
Ba8 0.6224 0.6224 0.2500
Hg1 0.0000 0.2901 0.7500
Hg2 0.0000 0.7099 0.2500
Hg3 0.2901 0.0000 0.7500
Hg4 0.2901 0.2901 0.2500
Hg5 0.3333 0.6667 0.0000
Hg6 0.3333 0.6667 0.5000
Hg7 0.6667 0.3333 0.0000
Hg8 0.6667 0.3333 0.5000
Hg9 0.7099 0.0000 0.2500
Hg10 0.7099 0.7099 0.7500

Density of states at the Fermi level in states/eV/atom: 1.09
Electronic total energy in eV per cell: -1007.9
E_form in eV/f.u.: -4.90
Symmetry: P6_3/mcm